Entry from the Alexandria database: a relaxed structure of AcPm2Mg2Sn2 (PBE).

Cell and atoms, written as POSCAR:
```
AcPm2Mg2Sn2
1.0
2.5279 1.4595 9.3839
-2.5279 1.4595 9.3839
0.0000 -2.9190 9.3839
Ac Pm Mg Sn
1 2 2 2
Direct
0.0000 0.0000 0.0000
0.1330 0.1330 0.1330
0.8670 0.8670 0.8670
0.4169 0.4169 0.4169
0.5831 0.5831 0.5831
0.2593 0.2593 0.2593
0.7407 0.7407 0.7407
```

## Properties
* ΔH_f (0 K): -0.370 eV per atom
* E: -27.39 eV for the cell shown
* calculated volume: 208 Å³ per cell